In2ReAs: optimized geometry, PBE.

a = 5.6431 Å, b = 5.6431 Å, c = 5.0036 Å
α = 74.19°, β = 74.19°, γ = 32.09°
Last column: nearest neighbours and their distance in Å.
Sites, in units of the cell vectors:
As 0.1967 0.1967 0.2595  2 Re 2.50, 1 In 2.79
In 0.9898 0.9898 0.0329  1 As 2.79, 4 Re 2.88-3.07, 2 In 3.12
In 0.7858 0.7858 0.6750  3 Re 2.96-3.08, 4 As 2.97-3.21, 3 In 3.12-3.22
Re 0.5277 0.5277 0.5326  2 As 2.50

Density of states at the Fermi level ... 0.405 states/eV per atom
Theoretical density ... 10.041 g/cm3
Calculated formation energy ... 0.3080 eV per atom

---

Er3CoPb2: optimized geometry, PBE.

a = 6.1724 Å, b = 8.5763 Å, c = 6.9518 Å
α = 107.81°, β = 116.36°, γ = 90.00°
Last column: nearest neighbours and their distance in Å.
Sites, in units of the cell vectors:
Pb 0.2333 0.4914 0.7141  1 Co 2.77, 1 Er 3.03
Pb 0.7667 0.5086 0.2859  1 Co 2.77, 1 Er 3.03
Pb 0.4808 0.9914 0.7141  1 Co 2.77, 1 Er 3.03
Pb 0.5192 0.0086 0.2859  1 Co 2.77, 1 Er 3.03
Er 0.9507 0.8700 0.6917  1 Co 2.47
Er 0.7410 0.3700 0.6918  1 Co 2.47
Er 0.2590 0.6300 0.3082  1 Co 2.47
Er 0.3080 0.2500 0.0000  1 Co 2.71, 2 Pb 3.03
Er 0.0493 0.1300 0.3083  1 Co 2.47
Er 0.6920 0.7500 0.0000  1 Co 2.71, 2 Pb 3.03
Co 0.1307 0.7500 0.0000  3 Er 2.47-2.71
Co 0.8693 0.2500 0.0000  3 Er 2.47-2.71

Density of states at the Fermi level ... 0.385 states/eV per atom
Theoretical density ... 10.449 g/cm3
Calculated formation energy ... -0.2526 eV per atom

---

LiEuAgGe: optimized geometry, PBE.

a = 4.8640 Å, b = 4.8640 Å, c = 4.8640 Å
α = 60.00°, β = 60.00°, γ = 60.00°
Last column: nearest neighbours and their distance in Å.
Sites, in units of the cell vectors:
Li 0.7500 0.7500 0.7500  4 Eu 2.98, 4 Ge 2.98
Ag 0.2500 0.2500 0.2500  4 Ge 2.98, 4 Eu 2.98
Ge 0.0000 0.0000 0.0000  4 Li 2.98, 4 Ag 2.98
Eu 0.5000 0.5000 0.5000  4 Li 2.98, 4 Ag 2.98

Density of states at the Fermi level ... 2.917 states/eV per atom
Theoretical density ... 6.926 g/cm3
Calculated formation energy ... -0.3132 eV per atom

---

Sm3ErSc4: optimized geometry, PBE.

a = 6.0109 Å, b = 7.0310 Å, c = 10.8864 Å
α = 90.00°, β = 90.00°, γ = 90.00°
Last column: nearest neighbours and their distance in Å.
Sites, in units of the cell vectors:
Sc 0.9786 0.1131 0.7518  6 Sc 3.30-3.40, 5 Sm 3.36-3.67, 1 Er 3.36
Sc 0.6505 0.1133 0.0000  6 Sc 3.33-3.40, 4 Sm 3.36-3.67, 2 Er 3.42-3.54
Sc 0.1505 0.8867 0.5000  6 Sc 3.33-3.40, 4 Sm 3.36-3.67, 2 Er 3.42-3.54
Sc 0.4786 0.8869 0.7482  6 Sc 3.30-3.40, 5 Sm 3.36-3.67, 1 Er 3.36
Sc 0.1503 0.8865 0.0000  6 Sc 3.30-3.40, 2 Er 3.35-3.69, 4 Sm 3.39-3.53
Sc 0.6503 0.1135 0.5000  6 Sc 3.30-3.40, 2 Er 3.35-3.69, 4 Sm 3.39-3.53
Sc 0.4786 0.8869 0.2518  6 Sc 3.30-3.40, 5 Sm 3.36-3.67, 1 Er 3.36
Sc 0.9786 0.1131 0.2482  6 Sc 3.30-3.40, 5 Sm 3.36-3.67, 1 Er 3.36
Sm 0.1410 0.3641 0.5000  6 Sc 3.36-3.67, 4 Sm 3.43-3.44, 2 Er 3.56-3.58
Sm 0.6410 0.6359 0.0000  6 Sc 3.36-3.67, 4 Sm 3.43-3.44, 2 Er 3.56-3.58
Sm 0.9884 0.6354 0.7496  6 Sc 3.36-3.67, 2 Er 3.43-3.46, 4 Sm 3.43-3.56
Sm 0.9884 0.6354 0.2504  6 Sc 3.36-3.67, 2 Er 3.43-3.46, 4 Sm 3.43-3.56
Sm 0.4884 0.3646 0.2496  6 Sc 3.36-3.67, 2 Er 3.43-3.46, 4 Sm 3.43-3.56
Sm 0.4884 0.3646 0.7504  6 Sc 3.36-3.67, 2 Er 3.43-3.46, 4 Sm 3.43-3.56
Er 0.6395 0.6377 0.5000  6 Sc 3.35-3.69, 6 Sm 3.43-3.58
Er 0.1395 0.3623 0.0000  6 Sc 3.35-3.69, 6 Sm 3.43-3.58

Density of states at the Fermi level ... 1.908 states/eV per atom
Theoretical density ... 5.761 g/cm3
Calculated formation energy ... 0.0452 eV per atom